Entry 1:
The following is a DFT calculation (GGA-PBE) of crystalline Tb2TmPuAs4 at its relaxed geometry.

a = 7.120 Å, b = 4.125 Å, c = 7.126 Å
α = 90.00°, β = 109.45°, γ = 90.00°
Fractional positions:
Tb: 0.000 0.000 0.000
Tb: 0.500 0.500 0.000
Tm: 0.000 0.500 0.500
Pu: 0.500 0.000 0.500
As: 0.248 0.000 0.746
As: 0.250 0.500 0.254
As: 0.750 0.500 0.746
As: 0.752 0.000 0.254

For the formation enthalpy at 0 K, the calculation gives -32.071 kcal/mol of atoms. The value obtained for the volume is 197 Å³/f.u.

Entry 2:
The following is a DFT calculation (GGA-PBE) of crystalline TbTm2PuAs4 at its relaxed geometry.

a = 7.089 Å, b = 4.107 Å, c = 7.097 Å
α = 90.00°, β = 109.48°, γ = 90.00°
Fractional positions:
Tb: 0.000 0.000 0.000
Tm: 0.500 0.000 0.500
Tm: 0.500 0.500 0.000
Pu: 0.000 0.500 0.500
As: 0.253 0.000 0.750
As: 0.254 0.500 0.253
As: 0.746 0.500 0.747
As: 0.747 0.000 0.250

For the formation enthalpy at 0 K, the calculation gives -31.874 kcal/mol of atoms. The value obtained for the volume is 195 Å³/f.u.

Entry 3:
The following is a DFT calculation (GGA-PBE) of crystalline TbPu3U4As8 at its relaxed geometry.

a = 8.197 Å, b = 8.197 Å, c = 8.251 Å
α = 119.97°, β = 119.97°, γ = 59.78°
Fractional positions:
Tb: 0.000 0.000 0.000
Pu: 0.000 0.500 0.000
Pu: 0.500 0.000 0.000
Pu: 0.500 0.500 0.000
U: 0.000 0.000 0.500
U: 0.000 0.500 0.500
U: 0.500 0.000 0.500
U: 0.500 0.500 0.500
As: 0.248 0.748 0.745
As: 0.249 0.249 0.746
As: 0.252 0.252 0.255
As: 0.252 0.752 0.255
As: 0.748 0.248 0.745
As: 0.748 0.748 0.745
As: 0.751 0.751 0.254
As: 0.752 0.252 0.255

For the formation enthalpy at 0 K, the calculation gives -21.227 kcal/mol of atoms. The value obtained for the volume is 392 Å³/f.u.

Entry 4:
The following is a DFT calculation (GGA-PBE) of crystalline TbPu2UAs4 at its relaxed geometry.

a = 7.128 Å, b = 4.118 Å, c = 7.140 Å
α = 90.00°, β = 109.53°, γ = 90.00°
Fractional positions:
Tb: 0.000 0.000 0.000
Pu: 0.000 0.500 0.500
Pu: 0.500 0.000 0.500
U: 0.500 0.500 0.000
As: 0.253 0.000 0.754
As: 0.255 0.500 0.248
As: 0.745 0.500 0.752
As: 0.747 0.000 0.246

For the formation enthalpy at 0 K, the calculation gives -24.446 kcal/mol of atoms. The value obtained for the volume is 198 Å³/f.u.

Entry 5:
The following is a DFT calculation (GGA-PBE) of crystalline Tb2Pu3UAs6 at its relaxed geometry.

a = 9.220 Å, b = 9.220 Å, c = 8.241 Å
α = 102.89°, β = 102.89°, γ = 25.88°
Fractional positions:
Tb: 0.167 0.167 0.335
Tb: 0.833 0.833 0.665
Pu: 0.168 0.168 0.832
Pu: 0.500 0.500 0.500
Pu: 0.832 0.832 0.168
U: 0.500 0.500 0.000
As: 0.000 0.000 0.246
As: 0.000 0.000 0.754
As: 0.333 0.333 0.415
As: 0.336 0.336 0.920
As: 0.664 0.664 0.080
As: 0.667 0.667 0.585

For the formation enthalpy at 0 K, the calculation gives -26.062 kcal/mol of atoms. The value obtained for the volume is 298 Å³/f.u.

Entry 6:
The following is a DFT calculation (GGA-PBE) of crystalline Tb2PuUAs4 at its relaxed geometry.

a = 7.129 Å, b = 4.107 Å, c = 7.158 Å
α = 90.00°, β = 109.36°, γ = 90.00°
Fractional positions:
Tb: 0.000 0.000 0.000
Tb: 0.000 0.500 0.500
Pu: 0.500 0.000 0.500
U: 0.500 0.500 0.000
As: 0.254 0.000 0.755
As: 0.254 0.500 0.248
As: 0.746 0.000 0.245
As: 0.746 0.500 0.752

For the formation enthalpy at 0 K, the calculation gives -27.536 kcal/mol of atoms. The value obtained for the volume is 198 Å³/f.u.

Entry 7:
The following is a DFT calculation (GGA-PBE) of crystalline TbY2PuAs4 at its relaxed geometry.

a = 7.144 Å, b = 4.138 Å, c = 7.146 Å
α = 90.00°, β = 109.47°, γ = 90.00°
Fractional positions:
Tb: 0.000 0.000 0.000
Y: 0.500 0.000 0.500
Y: 0.500 0.500 0.000
Pu: 0.000 0.500 0.500
As: 0.249 0.000 0.748
As: 0.250 0.500 0.251
As: 0.750 0.500 0.749
As: 0.751 0.000 0.252

For the formation enthalpy at 0 K, the calculation gives -32.527 kcal/mol of atoms. The value obtained for the volume is 199 Å³/f.u.

Entry 8:
The following is a DFT calculation (GGA-PBE) of crystalline TbPu2ZrAs4 at its relaxed geometry.

a = 7.017 Å, b = 4.062 Å, c = 7.060 Å
α = 90.00°, β = 109.39°, γ = 90.00°
Fractional positions:
Tb: 0.000 0.000 0.000
Pu: 0.500 0.000 0.500
Pu: 0.500 0.500 0.000
Zr: 0.000 0.500 0.500
As: 0.241 0.000 0.739
As: 0.246 0.500 0.258
As: 0.754 0.500 0.742
As: 0.759 0.000 0.261

For the formation enthalpy at 0 K, the calculation gives -27.648 kcal/mol of atoms. The value obtained for the volume is 190 Å³/f.u.

Entry 9:
The following is a DFT calculation (GGA-PBE) of crystalline TbPuZr2As4 at its relaxed geometry.

a = 6.892 Å, b = 3.985 Å, c = 6.956 Å
α = 90.00°, β = 109.26°, γ = 90.00°
Fractional positions:
Tb: 0.000 0.000 0.000
Pu: 0.500 0.500 0.000
Zr: 0.000 0.500 0.500
Zr: 0.500 0.000 0.500
As: 0.246 0.000 0.736
As: 0.255 0.500 0.264
As: 0.745 0.500 0.736
As: 0.754 0.000 0.264

For the formation enthalpy at 0 K, the calculation gives -28.435 kcal/mol of atoms. The value obtained for the volume is 180 Å³/f.u.

Entry 10:
The following is a DFT calculation (GGA-PBE) of crystalline Pu4TeAs3 at its relaxed geometry.

a = 4.199 Å, b = 5.970 Å, c = 8.455 Å
α = 90.00°, β = 90.00°, γ = 90.00°
Fractional positions:
Pu: 0.000 0.000 0.000
Pu: 0.000 0.000 0.500
Pu: 0.500 0.500 0.233
Pu: 0.500 0.500 0.767
Te: 0.000 0.500 0.500
As: 0.000 0.500 0.000
As: 0.500 0.000 0.252
As: 0.500 0.000 0.748

As for the energy relative to the elements, uncorrected: -0.998 eV/atom. The value obtained for the volume is 212 Å³/f.u.

Entry 11:
The following is a DFT calculation (GGA-PBE) of crystalline Pu3TeAs2 at its relaxed geometry.

a = 4.224 Å, b = 6.016 Å, c = 12.755 Å
α = 90.00°, β = 90.00°, γ = 90.00°
Fractional positions:
Pu: 0.000 0.000 0.000
Pu: 0.000 0.000 0.321
Pu: 0.000 0.000 0.679
Pu: 0.500 0.500 0.179
Pu: 0.500 0.500 0.500
Pu: 0.500 0.500 0.821
Te: 0.000 0.500 0.000
Te: 0.500 0.000 0.500
As: 0.000 0.500 0.338
As: 0.000 0.500 0.662
As: 0.500 0.000 0.162
As: 0.500 0.000 0.838

As for the energy relative to the elements, uncorrected: -0.993 eV/atom. The value obtained for the volume is 162 Å³/f.u.

Entry 12:
The following is a DFT calculation (GGA-PBE) of crystalline PuTeAs at its relaxed geometry.

a = 4.779 Å, b = 4.779 Å, c = 4.098 Å
α = 90.00°, β = 90.00°, γ = 120.00°
Fractional positions:
Pu: 0.000 0.000 0.000
Te: 0.333 0.667 0.499
As: 0.667 0.333 0.999

As for the energy relative to the elements, uncorrected: -0.376 eV/atom. The value obtained for the volume is 81 Å³/f.u.

Copy entry 6 word for word.
The following is a DFT calculation (GGA-PBE) of crystalline Tb2PuUAs4 at its relaxed geometry.

a = 7.129 Å, b = 4.107 Å, c = 7.158 Å
α = 90.00°, β = 109.36°, γ = 90.00°
Fractional positions:
Tb: 0.000 0.000 0.000
Tb: 0.000 0.500 0.500
Pu: 0.500 0.000 0.500
U: 0.500 0.500 0.000
As: 0.254 0.000 0.755
As: 0.254 0.500 0.248
As: 0.746 0.000 0.245
As: 0.746 0.500 0.752

For the formation enthalpy at 0 K, the calculation gives -27.536 kcal/mol of atoms. The value obtained for the volume is 198 Å³/f.u.